# 1
The following is a DFT calculation (PBE-GGA) of crystalline In4TeBr3 at its relaxed geometry.

The space group is Pmmn (No. 59, origin choice 2) and the conventional cell measures 6.211, 13.360 and 6.787 Å, with angles of 90.00, 90.00 and 90.00 degrees. The distinct sites, in fractional coordinates, are In at (0.250, 0.001, 0.209), In at (0.250, 0.250, 0.709), In at (0.250, 0.750, 0.740), Te at (0.250, 0.250, 0.216), Br at (0.250, 0.508, 0.681) and Br at (0.250, 0.750, 0.309).

The calculation puts the uncorrected formation energy at -4.0 eV per formula unit.

---

# 2
The following is a DFT calculation (PBE-GGA) of crystalline AcDyOs at its relaxed geometry.

The space group is I4mm (No. 107) and the conventional cell measures 3.545, 3.545 and 13.906 Å, with angles of 90.00, 90.00 and 90.00 degrees. The distinct sites, in fractional coordinates, are Ac at (0.000, 0.000, 0.000), Dy at (0.000, 0.000, 0.247) and Os at (0.000, 0.000, 0.636).

Its total energy is -6.656 eV/atom.

---

# 3
The following is a DFT calculation (PBE-GGA) of crystalline La4HgTe5 at its relaxed geometry.

The space group is C2/m (No. 12) and the conventional cell measures 22.370, 4.717 and 8.748 Å, with angles of 90.00, 108.45 and 90.00 degrees. The distinct sites, in fractional coordinates, are La at (0.030, 0.000, 0.264), La at (0.173, 0.500, 0.565), Hg at (0.000, 0.500, 0.500), Te at (0.000, 0.500, 0.000), Te at (0.109, 0.000, 0.699) and Te at (0.178, 0.000, 0.310).

The calculation puts the uncorrected formation energy at -12.3 eV per formula unit.

---

# 4
The following is a DFT calculation (PBE-GGA) of crystalline UBeFe2H8 at its relaxed geometry.

The space group is P-3m1 (No. 164) and the conventional cell measures 4.3968, 4.3968 and 5.7231 Å, with angles of 90.00, 90.00 and 120.00 degrees. The distinct sites, in fractional coordinates, are U at (0.0000, 0.0000, 0.0000), Be at (0.0000, 0.0000, 0.5000), Fe at (0.3333, 0.6667, 0.1357), H at (0.1626, 0.3252, 0.3249) and H at (0.3333, 0.6667, 0.8610).

Its total energy is -4.803 eV/atom.

---

# 5
The following is a DFT calculation (PBE-GGA) of crystalline CsCeS2Cl at its relaxed geometry.

The space group is P2_1/m (No. 11) and the conventional cell measures 9.114, 4.162 and 9.579 Å, with angles of 90.00, 104.69 and 90.00 degrees. The distinct sites, in fractional coordinates, are Cs at (0.188, 0.250, 0.264), Ce at (0.331, 0.750, 0.846), S at (0.152, 0.250, 0.867), S at (0.463, 0.750, 0.140) and Cl at (0.272, 0.750, 0.559).

The calculation puts the uncorrected formation energy at -9.0 eV per formula unit.

---

# 6
The following is a DFT calculation (PBE-GGA) of crystalline BaLa2Fe at its relaxed geometry.

The space group is P2/m (No. 10) and the conventional cell measures 3.652, 3.652 and 10.278 Å, with angles of 90.00, 90.63 and 90.00 degrees. The distinct sites, in fractional coordinates, are Ba at (0.000, 0.000, 0.000), La at (0.493, 0.500, 0.661) and Fe at (0.000, 0.000, 0.500).

Its total energy is -4.858 eV/atom.